Entry 1:
A plane-wave DFT calculation with PBE-GGA was carried out for Th3Pa2 after structural relaxation.

## Properties
The calculation puts the total magnetization at 0.0000 μB/atom. Its space-group type is R-3m, No. 166. The mass density is 12.3 g/cm³. The value obtained for the calculated formation energy is 0.3872 eV per atom.

```
10
Lattice="-4.022 4.668 2.663 -6.646 -0.419 -0.844 -4.138 -2.929 7.344" Properties=species:S:1:pos:R:3 pbc="T T T"
Pa -11.009 1.709 5.759
Th -5.714 2.665 3.623
Pa -11.201 0.273 7.986
Pa -3.606 1.048 1.177
Pa -3.798 -0.388 3.405
Th -5.770 -1.133 5.964
Th -7.024 0.121 1.869
Th -7.783 1.200 7.294
Th -9.093 -1.344 5.540
Th -9.037 2.454 3.200
```



Entry 2:
A plane-wave DFT calculation with PBE-GGA was carried out for ThPa3 after structural relaxation.

## Properties
The calculation puts the total magnetization at 0.0000 μB/atom. Its space-group type is Imm2, No. 44. The mass density is 14.5 g/cm³. For the energy above the most stable polymorph in this dataset, the calculation gives 37.2 meV/atom. The value obtained for the calculated formation energy is 0.1054 eV per atom.

```
4
Lattice="-1.904 2.416 -1.162 -1.551 -3.297 -4.314 -2.642 -1.525 5.810" Properties=species:S:1:pos:R:3 pbc="T T T"
Pa -1.688 -0.357 -2.629
Pa -2.686 -2.153 -0.077
Pa -2.988 0.647 1.587
Th -1.496 -3.180 -4.161
```



Entry 3:
A plane-wave DFT calculation with PBE-GGA was carried out for ThPa3 after structural relaxation.

## Properties
The calculation puts the total magnetization at 0.0000 μB/atom. Its space-group type is Pm-3m, No. 221. The mass density is 14.4 g/cm³. For the energy above the most stable polymorph in this dataset, the calculation gives 2.4 meV/atom. The value obtained for the calculated formation energy is 0.0707 eV per atom.

```
4
Lattice="4.739 0.000 0.000 0.000 4.739 0.000 0.000 0.000 4.739" Properties=species:S:1:pos:R:3 pbc="T T T"
Pa 0.000 2.369 2.369
Pa 2.369 2.369 0.000
Pa 2.369 0.000 2.369
Th 0.000 0.000 0.000
```



> Among the records above, which one has the highest mass density?

number 2